1.
VASP calculation (PBE) on crystalline BiHRh at its relaxed geometry.

The structure in POSCAR format:
```
BiHRh
1.0
3.3188 0.0000 0.0000
0.0000 4.3873 0.0000
0.0000 0.0000 6.7473
Bi H Rh
2 2 2
direct
0.2500 0.2500 0.1906 Bi
0.7500 0.7500 0.8094 Bi
0.2500 0.2500 0.6369 H
0.7500 0.7500 0.3631 H
0.2500 0.7500 0.4529 Rh
0.7500 0.2500 0.5471 Rh
```

Output
Space-group type: No. 59
Energy above the lowest structure with this stoichiometry (eV per atom): 0.000
Crystal system: orthorhombic

2.
VASP calculation (PBE) on crystalline BSCl at its relaxed geometry.

The structure in POSCAR format:
```
BSCl
1.0
1.5949 -7.1376 0.0000
1.5949 7.1376 0.0000
0.0000 0.0000 5.3288
B S Cl
2 2 2
direct
0.0525 0.9475 0.5000 B
0.9475 0.0525 0.0000 B
0.0614 0.9386 0.1533 S
0.9386 0.0614 0.6533 S
0.3639 0.6361 0.1126 Cl
0.6361 0.3639 0.6126 Cl
```

Output
Space-group type: No. 36
Energy above the lowest structure with this stoichiometry (eV per atom): 0.231
Crystal system: orthorhombic

3.
VASP calculation (PBE) on crystalline Li17CaPm at its relaxed geometry.

The structure in POSCAR format:
```
Li17CaPm
1.0
4.9918 2.8820 4.8939
-4.9918 2.8820 4.8939
0.0000 -5.7641 4.8939
Li Ca Pm
17 1 1
direct
0.0077 0.4961 0.4961 Li
0.0500 0.0500 0.0500 Li
0.1447 0.1447 0.6534 Li
0.1447 0.6534 0.1447 Li
0.1515 0.4432 0.8503 Li
0.1515 0.8503 0.4432 Li
0.2472 0.2472 0.2472 Li
0.3059 0.7932 0.7932 Li
0.4432 0.1515 0.8503 Li
0.4432 0.8503 0.1515 Li
0.4961 0.0077 0.4961 Li
0.4961 0.4961 0.0077 Li
0.6534 0.1447 0.1447 Li
0.7932 0.3059 0.7932 Li
0.7932 0.7932 0.3059 Li
0.8503 0.1515 0.4432 Li
0.8503 0.4432 0.1515 Li
0.7994 0.7994 0.7994 Ca
0.4891 0.4891 0.4891 Pm
```

Output
Space-group type: No. 160
Crystal system: trigonal
Formation enthalpy at 0 K (eV/atom): 0.054

| no. | calculated volume (Å³ per atom) | total moment (μB per formula unit) |
| --- | --- | --- |
| 1 | 16.374 | 0.0 |
| 2 | 20.220 | 0.0 |
| 3 | 22.234 | 0.0 |